Entry 1:
Nd2CuSb, optimized geometry, DFT PBE-GGA; E_form (uncorrected) = -637.9 meV per atom; DOS(E_F) = 8.47 states/eV/cell; DFT total energy = -40.6 eV/cell
1.0
6.2676 0.0000 0.0000
0.0000 4.2433 0.0000
-3.0574 0.0000 8.1345
Nd Cu Sb
4 2 2
Direct
0.2128 0.2500 0.4052 Nd
0.2141 0.2500 0.9477 Nd
0.7859 0.7500 0.0523 Nd
0.7872 0.7500 0.5948 Nd
0.3657 0.7500 0.2141 Cu
0.6343 0.2500 0.7859 Cu
0.3378 0.7500 0.7062 Sb
0.6622 0.2500 0.2938 Sb



Entry 2:
AlSi2Ni5, optimized geometry, DFT PBE-GGA; E_form (uncorrected) = -424.1 meV per atom; DOS(E_F) = 4.78 states/eV/cell; polymorph energy (0 for the lowest one) = 77 meV per atom; DFT total energy = -46.9 eV/cell
1.0
-1.3453 3.5583 4.8693
1.3453 -3.5583 4.8693
1.3453 3.5583 -4.8693
Al Si Ni
1 2 5
Direct
0.0000 0.0000 0.0000 Al
0.2680 0.7680 0.5000 Si
0.7320 0.2320 0.5000 Si
0.1265 0.3685 0.7580 Ni
0.3895 0.6315 0.7580 Ni
0.5000 0.0000 0.5000 Ni
0.6105 0.3685 0.2420 Ni
0.8735 0.6315 0.2420 Ni



Entry 3:
RbHPb, optimized geometry, DFT PBE-GGA; DOS(E_F) = 0.04 states/eV/cell; polymorph energy (0 for the lowest one) = 12 meV per atom; DFT total energy = -16.7 eV/cell
1.0
4.7487 0.0000 0.0000
0.0042 6.1018 0.0000
2.3367 2.8245 6.3507
Rb H Pb
2 2 2
Direct
0.1071 0.3435 0.2926 Rb
0.8929 0.6565 0.7074 Rb
0.3130 0.3881 0.8705 H
0.6870 0.6119 0.1295 H
0.3306 0.0901 0.8360 Pb
0.6694 0.9099 0.1640 Pb



| no. | total magnetization (Bohr magnetons per cell) |
| --- | --- |
| 1 | 0.00 |
| 2 | 0.00 |
| 3 | 0.00 |